Entry 1:
! InRh3I | the Alexandria database | PBE-GGA | relaxed; values from VASP
! ΔE to the lowest computed polymorph (eV per formula unit): 0.00
! Calculated volume (A^3/atom): 22.7
! SG: Pm-3m
! Calculated density (g cm⁻³): 8.0
! Final energy (eV per atom): -4.3643
! Uncorrected formation energy (meV per atom): 904
! Magnetization (μB/f.u.): 0.00
&SYSTEM
  ibrav = 0, nat = 5, ntyp = 3
/
ATOMIC_SPECIES
In 114.82 In.upf
Rh 102.91 Rh.upf
I 126.90 I.upf
CELL_PARAMETERS angstrom
4.8429 0.0000 0.0000
0.0000 4.8429 0.0000
0.0000 0.0000 4.8429
ATOMIC_POSITIONS crystal
In 0.0000 0.0000 0.0000
Rh 0.0000 0.5000 0.5000
Rh 0.5000 0.0000 0.5000
Rh 0.5000 0.5000 0.0000
I 0.5000 0.5000 0.5000

Entry 2:
! In3RhI | the Alexandria database | PBE-GGA | relaxed; values from VASP
! ΔE to the lowest computed polymorph (eV per formula unit): 0.00
! Calculated volume (A^3/atom): 29.2
! SG: Pm-3m
! Calculated density (g cm⁻³): 6.5
! Final energy (eV per atom): -3.7647
! Uncorrected formation energy (meV per atom): -341
! Magnetization (μB/f.u.): 0.00
&SYSTEM
  ibrav = 0, nat = 5, ntyp = 3
/
ATOMIC_SPECIES
In 114.82 In.upf
Rh 102.91 Rh.upf
I 126.90 I.upf
CELL_PARAMETERS angstrom
5.2682 0.0000 0.0000
0.0000 5.2682 0.0000
0.0000 0.0000 5.2682
ATOMIC_POSITIONS crystal
In 0.0000 0.0000 0.5000
In 0.0000 0.5000 0.0000
In 0.5000 0.0000 0.0000
Rh 0.0000 0.0000 0.0000
I 0.5000 0.5000 0.5000

Which value of uncorrected formation energy does entry 2 give? -341 meV per atom

Among the records above, which one has the lowest uncorrected formation energy? In3RhI